Entry 1:
## Ca2LaTmTe4 (PBE)

Data for crystalline Ca2LaTmTe4 at its relaxed geometry.

Total magnetic moment, Bohr magnetons per cell: 0.00
Formation energy (no corrections), eV per atom: -1.485

a = 7.718 Å, b = 4.441 Å, c = 7.818 Å
α = 90.00°, β = 109.09°, γ = 90.00°
Fractional positions:
Ca 0.000 0.000 0.000
Ca 0.500 0.500 0.000
La 0.000 0.500 0.500
Tm 0.500 0.000 0.500
Te 0.262 0.000 0.754
Te 0.262 0.500 0.254
Te 0.738 0.000 0.246
Te 0.738 0.500 0.746

=====

Entry 2:
## Cs2AgBr6N (PBE)

Data for crystalline Cs2AgBr6N at its relaxed geometry.

Total magnetic moment, Bohr magnetons per cell: 0.00
Formation energy (no corrections), eV per atom: -0.356

a = 7.468 Å, b = 7.468 Å, c = 7.468 Å
α = 119.96°, β = 119.96°, γ = 90.07°
Fractional positions:
Cs 0.250 0.750 0.500
Cs 0.750 0.250 0.500
Ag 0.000 0.000 0.000
Br 0.264 0.264 0.000
Br 0.265 0.265 0.530
Br 0.265 0.735 0.000
Br 0.735 0.265 0.000
Br 0.735 0.735 0.470
Br 0.736 0.736 0.000
N 0.500 0.500 0.000

=====

Entry 3:
## La3InRu (PBE)

Data for crystalline La3InRu at its relaxed geometry.

ΔE to the lowest computed polymorph, meV per atom: 216.5
ΔE_f, eV/f.u.: -1.0
Total magnetic moment, Bohr magnetons per cell: 0.00

a = 6.551 Å, b = 6.551 Å, c = 6.551 Å
α = 88.59°, β = 88.59°, γ = 88.59°
Fractional positions:
La 0.048 0.750 0.452
La 0.250 0.548 0.952
La 0.452 0.048 0.750
La 0.548 0.952 0.250
La 0.750 0.452 0.048
La 0.952 0.250 0.548
In 0.000 0.000 0.000
In 0.500 0.500 0.500
Ru 0.250 0.250 0.250
Ru 0.750 0.750 0.750

=====

Entry 4:
## VPtSe (PBE)

Data for crystalline VPtSe at its relaxed geometry.

Total magnetic moment, Bohr magnetons per cell: 0.00
Formation energy (no corrections), eV per atom: -0.367

a = 8.914 Å, b = 3.197 Å, c = 8.901 Å
α = 90.00°, β = 112.00°, γ = 90.00°
Fractional positions:
V 0.151 0.000 0.089
V 0.349 0.500 0.911
V 0.651 0.500 0.089
V 0.849 0.000 0.911
Pt 0.037 0.500 0.829
Pt 0.463 0.000 0.171
Pt 0.537 0.000 0.829
Pt 0.963 0.500 0.171
Se 0.213 0.000 0.687
Se 0.287 0.500 0.313
Se 0.713 0.500 0.687
Se 0.787 0.000 0.313

=====

Entry 5:
## BaCa2Pd (PBE)

Data for crystalline BaCa2Pd at its relaxed geometry.

ΔE to the lowest computed polymorph, meV per atom: 89.9
ΔE_f, eV/f.u.: -1.2
Total magnetic moment, Bohr magnetons per cell: 0.00

a = 4.254 Å, b = 4.254 Å, c = 30.296 Å
α = 90.00°, β = 90.00°, γ = 120.00°
Fractional positions:
Ba 0.000 0.000 0.000
Ba 0.333 0.667 0.667
Ba 0.667 0.333 0.333
Ca 0.000 0.000 0.217
Ca 0.000 0.000 0.783
Ca 0.333 0.667 0.449
Ca 0.333 0.667 0.884
Ca 0.667 0.333 0.116
Ca 0.667 0.333 0.551
Pd 0.000 0.000 0.500
Pd 0.333 0.667 0.167
Pd 0.667 0.333 0.833

=====

Entry 6:
## Pm3Er7 (PBE)

Data for crystalline Pm3Er7 at its relaxed geometry.

ΔE to the lowest computed polymorph, meV per atom: 162.4
ΔE_f, eV/f.u.: 1.8
Total magnetic moment, Bohr magnetons per cell: 0.00

a = 10.710 Å, b = 10.710 Å, c = 6.456 Å
α = 90.00°, β = 90.00°, γ = 120.00°
Fractional positions:
Pm 0.203 0.406 0.000
Pm 0.203 0.797 0.000
Pm 0.406 0.203 0.500
Pm 0.594 0.797 0.000
Pm 0.797 0.203 0.500
Pm 0.797 0.594 0.500
Er 0.057 0.529 0.659
Er 0.121 0.243 0.481
Er 0.121 0.879 0.481
Er 0.243 0.121 0.981
Er 0.333 0.667 0.348
Er 0.471 0.529 0.659
Er 0.471 0.943 0.659
Er 0.529 0.057 0.159
Er 0.529 0.471 0.159
Er 0.667 0.333 0.848
Er 0.757 0.879 0.481
Er 0.879 0.121 0.981
Er 0.879 0.757 0.981
Er 0.943 0.471 0.159

=====

Entry 7:
## Pm2GaI (PBE)

Data for crystalline Pm2GaI at its relaxed geometry.

ΔE to the lowest computed polymorph, meV per atom: 88.1
Total magnetic moment, Bohr magnetons per cell: 0.00
Formation energy (no corrections), eV per atom: -0.671

a = 4.385 Å, b = 4.385 Å, c = 8.492 Å
α = 90.00°, β = 90.00°, γ = 120.00°
Fractional positions:
Pm 0.000 0.000 0.000
Pm 0.333 0.667 0.365
Ga 0.667 0.333 0.192
I 0.333 0.667 0.749

=====

Entry 8:
## ZnAgPb2 (PBE)

Data for crystalline ZnAgPb2 at its relaxed geometry.

ΔE_f, eV/f.u.: 0.8
Total magnetic moment, Bohr magnetons per cell: 0.00

a = 4.559 Å, b = 4.559 Å, c = 17.867 Å
α = 90.00°, β = 90.00°, γ = 120.00°
Fractional positions:
Zn 0.000 0.000 0.000
Zn 0.333 0.667 0.667
Zn 0.667 0.333 0.333
Ag 0.000 0.000 0.835
Ag 0.333 0.667 0.502
Ag 0.667 0.333 0.168
Pb 0.000 0.000 0.240
Pb 0.000 0.000 0.423
Pb 0.333 0.667 0.089
Pb 0.333 0.667 0.907
Pb 0.667 0.333 0.573
Pb 0.667 0.333 0.756

=====

Entry 9:
## ZrSnGe (PBE)

Data for crystalline ZrSnGe at its relaxed geometry.

ΔE to the lowest computed polymorph, meV per atom: 576.4
ΔE_f, eV/f.u.: 0.3
Total magnetic moment, Bohr magnetons per cell: 0.00

a = 6.619 Å, b = 6.619 Å, c = 6.619 Å
α = 90.00°, β = 90.00°, γ = 90.00°
Fractional positions:
Zr 0.037 0.037 0.037
Zr 0.463 0.963 0.537
Zr 0.537 0.463 0.963
Zr 0.963 0.537 0.463
Sn 0.007 0.993 0.493
Sn 0.493 0.007 0.993
Sn 0.507 0.507 0.507
Sn 0.993 0.493 0.007
Ge 0.206 0.294 0.706
Ge 0.294 0.706 0.206
Ge 0.706 0.206 0.294
Ge 0.794 0.794 0.794

=====

Entry 10:
## Mg2FeW (PBE)

Data for crystalline Mg2FeW at its relaxed geometry.

ΔE to the lowest computed polymorph, meV per atom: 0.0
ΔE_f, eV/f.u.: 0.7
Total magnetic moment, Bohr magnetons per cell: 0.00

a = 2.997 Å, b = 2.997 Å, c = 7.303 Å
α = 90.00°, β = 90.00°, γ = 90.00°
Fractional positions:
Mg 0.000 0.000 0.000
Mg 0.500 0.500 0.316
Fe 0.500 0.500 0.765
W 0.000 0.000 0.587

=====

Entry 11:
## Be2TcHgRu (PBE)

Data for crystalline Be2TcHgRu at its relaxed geometry.

ΔE_f, eV/f.u.: 8.4
Total magnetic moment, Bohr magnetons per cell: 4.17

a = 4.237 Å, b = 4.237 Å, c = 5.076 Å
α = 90.00°, β = 90.00°, γ = 90.00°
Fractional positions:
Be 0.000 0.500 0.000
Be 0.500 0.000 0.000
Tc 0.000 0.000 0.500
Hg 0.500 0.500 0.000
Ru 0.500 0.500 0.500

=====

Entry 12:
## KEu2Cd (PBE)

Data for crystalline KEu2Cd at its relaxed geometry.

ΔE_f, eV/f.u.: -0.4
Total magnetic moment, Bohr magnetons per cell: 14.77

a = 4.001 Å, b = 4.001 Å, c = 10.676 Å
α = 90.00°, β = 90.00°, γ = 90.00°
Fractional positions:
K 0.000 0.000 0.000
Eu 0.500 0.500 0.324
Eu 0.500 0.500 0.676
Cd 0.000 0.000 0.500

=====

Question: Which value of total magnetic moment does entry 9 give?
Answer: 0.00 Bohr magnetons per cell

=====

Question: Which of these has the highest total magnetic moment?
Answer: KEu2Cd

=====

What did the fourth record say?
## VPtSe (PBE)

Data for crystalline VPtSe at its relaxed geometry.

Total magnetic moment, Bohr magnetons per cell: 0.00
Formation energy (no corrections), eV per atom: -0.367

a = 8.914 Å, b = 3.197 Å, c = 8.901 Å
α = 90.00°, β = 112.00°, γ = 90.00°
Fractional positions:
V 0.151 0.000 0.089
V 0.349 0.500 0.911
V 0.651 0.500 0.089
V 0.849 0.000 0.911
Pt 0.037 0.500 0.829
Pt 0.463 0.000 0.171
Pt 0.537 0.000 0.829
Pt 0.963 0.500 0.171
Se 0.213 0.000 0.687
Se 0.287 0.500 0.313
Se 0.713 0.500 0.687
Se 0.787 0.000 0.313